1.
Entry from Alexandria: an optimized crystal structure of Y2ZrC (PBE).

Lattice parameters (Å, degrees): 3.4398 3.4398 9.5460 79.62 79.62 60.00
With the nearest neighbours (Å) after each atom.
Positions (direct):
C: 0.5000 0.5000 0.5000  6 Y 2.41
Y: 0.8823 0.8823 0.3531  3 C 2.41
Y: 0.1177 0.1177 0.6469  3 C 2.41
Zr: 0.0000 0.0000 0.0000  2 Y 3.30, 6 Zr 3.44

**Density**: 4.878 Mg/m³
**Magnetization**: 0.00 μB/f.u.
**Formation energy**: 0.421 eV/f.u.
**DFT total energy**: -7.57 eV/atom

***

2.
Entry from Alexandria: an optimized crystal structure of YZr3C (PBE).

Lattice parameters (Å, degrees): 5.1477 5.1477 5.1477 90.00 90.00 90.00
With the nearest neighbours (Å) after each atom.
Positions (direct):
Y: 0.0000 0.0000 0.0000  6 Zr 2.57
Zr: 0.5000 0.0000 0.0000  2 Y 2.57
Zr: 0.0000 0.5000 0.0000  2 Y 2.57
Zr: 0.0000 0.0000 0.5000  2 Y 2.57
C: 0.5000 0.5000 0.5000  12 Zr 3.64

**Density**: 4.560 Mg/m³
**Magnetization**: 0.15 μB/f.u.
**Relative energy among the computed polymorphs**: 276.6 kJ per mole of atoms
**Formation energy**: 13.524 eV/f.u.
**DFT total energy**: -5.56 eV/atom

***

3.
Entry from Alexandria: an optimized crystal structure of Y2ZrC (PBE).

Lattice parameters (Å, degrees): 9.2015 9.2015 6.8860 48.08 48.08 90.00
With the nearest neighbours (Å) after each atom.
Positions (direct):
Y: 0.2717 0.6250 0.2500  2 C 2.55
Y: 0.4783 0.1250 0.2500  2 C 2.55
Y: 0.8750 0.7283 0.7500  2 C 2.55
Y: 0.3750 0.5217 0.7500  2 C 2.55
Zr: 0.7500 0.2500 0.5000  2 C 2.25
Zr: 0.0000 0.0000 0.0000  2 C 2.25
C: 0.5000 0.5000 0.0000  2 Zr 2.25
C: 0.2500 0.7500 0.5000  2 Zr 2.25

**Density**: 4.890 Mg/m³
**Magnetization**: 0.00 μB/f.u.
**Formation energy**: 0.463 eV/f.u.
**DFT total energy**: -7.56 eV/atom

***

4.
Entry from Alexandria: an optimized crystal structure of YZr2C (PBE).

Lattice parameters (Å, degrees): 6.7349 6.7349 6.5926 59.28 59.28 90.00
With the nearest neighbours (Å) after each atom.
Positions (direct):
Zr: 0.8750 0.7071 0.7500  2 C 2.11
Zr: 0.4571 0.1250 0.2500  2 C 2.11
Zr: 0.3750 0.5429 0.7500  2 C 2.11
Zr: 0.2929 0.6250 0.2500  2 C 2.11
Y: 0.0000 0.0000 0.0000  8 Zr 3.47-3.85
Y: 0.7500 0.2500 0.5000  8 Zr 3.47-3.85
C: 0.2500 0.7500 0.5000  4 Zr 2.11
C: 0.5000 0.5000 0.0000  4 Zr 2.11

**Density**: 4.551 Mg/m³
**Magnetization**: 0.00 μB/f.u.
**Formation energy**: 1.208 eV/f.u.
**DFT total energy**: -7.89 eV/atom